# 1
La3BiO7: relaxed, PBE.

Cell lengths 6.8833, 6.8833, 8.0509 Å; angles 90.00, 90.00, 109.86 degrees
Closest atoms and distances in Å follow each position.
Fractional positions:
O  0.3719  0.6281  0.2500  4 La 2.42-2.48
O  0.6357  0.3643  0.2500  4 La 2.36-2.53
O  0.0762  0.3256  0.9722  1 Bi 2.13
O  0.9238  0.6744  0.4722  1 Bi 2.13
O  0.6281  0.3719  0.7500  4 La 2.42-2.48
O  0.0765  0.3258  0.5275  1 Bi 2.13
O  0.6744  0.9238  0.5278  1 Bi 2.13
O  0.3258  0.0765  0.4725  1 Bi 2.13
O  0.3256  0.0762  0.0278  1 Bi 2.13
O  0.9276  0.0724  0.2500  2 Bi 2.17
O  0.0724  0.9276  0.7500  2 Bi 2.17
O  0.9235  0.6742  0.0275  1 Bi 2.13
O  0.6742  0.9235  0.9725  1 Bi 2.13
O  0.3643  0.6357  0.7500  4 La 2.36-2.53
Bi  0.0000  0.0000  0.0000  6 O 2.13-2.17
Bi  0.0000  0.0000  0.5000  6 O 2.13-2.17
La  0.4998  0.4998  0.5000  8 O 2.48-2.76
La  0.9997  0.4724  0.2499  7 O 2.36-2.63
La  0.5276  0.0003  0.2501  7 O 2.36-2.63
La  0.5002  0.5002  0.0000  8 O 2.48-2.76
La  0.0003  0.5276  0.7499  7 O 2.36-2.63
La  0.4724  0.9997  0.7501  7 O 2.36-2.63

=====

# 2
La2Bi2O: relaxed, PBE.

Cell lengths 4.3213, 8.3219, 8.8273 Å; angles 90.00, 104.17, 90.00 degrees
Closest atoms and distances in Å follow each position.
Fractional positions:
La  0.8514  0.0453  0.7029  2 O 2.37
La  0.1486  0.5453  0.2971  2 O 2.37
La  0.4543  0.3663  0.9086  1 O 2.36
La  0.5457  0.8663  0.0914  1 O 2.36
Bi  0.8004  0.4386  0.6009  1 Bi 3.01
Bi  0.0680  0.1783  0.1360  1 Bi 3.01, 3 La 3.30-3.35
Bi  0.9320  0.6783  0.8640  1 Bi 3.01, 3 La 3.30-3.35
Bi  0.1996  0.9386  0.3991  1 Bi 3.01
O  0.4002  0.1059  0.8003  3 La 2.36-2.37
O  0.5998  0.6059  0.1997  3 La 2.36-2.37

Properties
Its offset from the most stable computed form is 0.0 meV per atom.

=====

# 3
LaBi5O9: relaxed, PBE.

Cell lengths 9.6001, 9.6001, 6.9751 Å; angles 81.56, 81.56, 24.00 degrees
Closest atoms and distances in Å follow each position.
Fractional positions:
O  0.7301  0.7301  0.7389  3 Bi 2.41-2.49
O  0.6434  0.6434  0.4156  3 Bi 2.40-2.52, 1 La 2.42
O  0.8416  0.8416  0.0557  3 Bi 2.34-2.37
O  0.9547  0.9547  0.3520  1 Bi 2.13
O  0.5503  0.5503  0.1114  3 Bi 2.20-2.40
O  0.0555  0.0555  0.6537  2 Bi 2.21-2.31
O  0.1379  0.1379  0.9458  4 Bi 2.28-2.44
O  0.4484  0.4484  0.8288  1 Bi 2.11
O  0.3517  0.3517  0.5405  3 Bi 2.27-2.32
Bi  0.0066  0.0066  0.9787  6 O 2.31-2.57
Bi  0.8401  0.8401  0.3918  4 O 2.13-2.34
Bi  0.3350  0.3350  0.8763  2 O 2.11-2.32
Bi  0.1745  0.1745  0.6082  2 O 2.21-2.35
Bi  0.6687  0.6687  0.0674  5 O 2.20-2.41
La  0.5130  0.5130  0.4817  7 O 2.42-2.57

=====

# 4
La2Bi2O7: relaxed, PBE.

Cell lengths 6.0146, 8.2935, 14.4779 Å; angles 100.49, 90.00, 90.00 degrees
Closest atoms and distances in Å follow each position.
Fractional positions:
O  0.9483  0.9280  0.5879  1 Bi 2.19
O  0.9458  0.1404  0.4384  1 Bi 2.20, 1 La 2.43
O  0.1271  0.4271  0.8192  1 Bi 2.16
O  0.3588  0.2930  0.0967  2 Bi 2.26-2.44, 2 La 2.35-2.43
O  0.4458  0.8596  0.5616  1 Bi 2.20, 1 La 2.43
O  0.1181  0.7693  0.0837  2 Bi 2.18-2.37, 1 La 2.36
O  0.0794  0.6830  0.6932  2 Bi 2.25-2.29, 1 La 2.51
O  0.8450  0.8196  0.3348  2 Bi 2.17-2.23
O  0.4483  0.0720  0.4121  1 Bi 2.19
O  0.9722  0.4469  0.0403  1 Bi 2.26, 2 La 2.38-2.48
O  0.4688  0.9262  0.9842  2 Bi 2.29-2.38, 1 La 2.44
O  0.5245  0.8863  0.7572  2 Bi 2.14-2.25
O  0.0877  0.0217  0.8195  2 Bi 2.14-2.33
O  0.4959  0.5549  0.7413  2 Bi 2.16-2.29
O  0.8918  0.5766  0.4536  1 Bi 2.14
O  0.8588  0.7070  0.9033  2 Bi 2.26-2.44, 2 La 2.35-2.43
O  0.5794  0.3170  0.3068  2 Bi 2.25-2.29, 1 La 2.51
O  0.3918  0.4234  0.5464  1 Bi 2.14
O  0.9959  0.4451  0.2587  2 Bi 2.16-2.29
O  0.9688  0.0738  0.0158  2 Bi 2.29-2.38, 1 La 2.44
O  0.8792  0.3731  0.6311  1 Bi 2.11
O  0.6271  0.5729  0.1808  1 Bi 2.16
O  0.3450  0.1804  0.6652  2 Bi 2.17-2.23
O  0.5877  0.9783  0.1805  2 Bi 2.14-2.33
O  0.3792  0.6269  0.3689  1 Bi 2.11
O  0.6181  0.2307  0.9163  2 Bi 2.18-2.37, 1 La 2.36
O  0.0245  0.1137  0.2428  2 Bi 2.14-2.25
O  0.4722  0.5531  0.9597  1 Bi 2.26, 2 La 2.38-2.48
Bi  0.7399  0.9794  0.8825  6 O 2.18-2.44
Bi  0.7112  0.5747  0.3259  6 O 2.11-2.25
Bi  0.2399  0.0206  0.1175  6 O 2.18-2.44
Bi  0.2196  0.5439  0.1540  5 O 2.26-2.49
Bi  0.2290  0.9337  0.6843  6 O 2.14-2.29
Bi  0.7290  0.0663  0.3157  6 O 2.14-2.29
Bi  0.2112  0.4253  0.6741  6 O 2.11-2.25
Bi  0.7196  0.4561  0.8460  5 O 2.26-2.49
La  0.1732  0.8638  0.4377  5 O 2.38-2.53
La  0.6732  0.1362  0.5623  5 O 2.38-2.53
La  0.7293  0.7357  0.0647  6 O 2.36-2.64
La  0.7454  0.2782  0.1177  4 O 2.35-2.55
La  0.7115  0.6556  0.6093  7 O 2.48-2.76
La  0.2293  0.2643  0.9353  6 O 2.36-2.64
La  0.2454  0.7218  0.8823  4 O 2.35-2.55
La  0.2115  0.3444  0.3907  7 O 2.48-2.76

=====

# 5
La5Bi2O12: relaxed, PBE.

Cell lengths 6.4340, 7.3723, 7.9118 Å; angles 105.63, 90.00, 115.87 degrees
Closest atoms and distances in Å follow each position.
Fractional positions:
O  0.5970  0.6890  0.4245  4 La 2.42-2.53
O  0.8998  0.3391  0.0868  1 Bi 2.15
O  0.0006  0.0013  0.1919  2 Bi 2.19, 1 La 2.44
O  0.9994  0.9987  0.8081  2 Bi 2.19, 1 La 2.44
O  0.5607  0.6609  0.9132  1 Bi 2.15
O  0.4985  0.9970  0.1901  2 Bi 2.23
O  0.5015  0.0030  0.8099  2 Bi 2.23
O  0.0920  0.6890  0.4245  4 La 2.42-2.53
O  0.4393  0.3391  0.0868  1 Bi 2.15
O  0.4030  0.3110  0.5755  4 La 2.42-2.53
O  0.9080  0.3110  0.5755  4 La 2.42-2.53
O  0.1002  0.6609  0.9132  1 Bi 2.15
La  0.0000  0.0000  0.5000  6 O 2.44-2.53
La  0.3034  0.6069  0.1717  7 O 2.43-2.64
La  0.2989  0.5979  0.6349  7 O 2.42-2.63
La  0.7011  0.4021  0.3651  7 O 2.42-2.63
La  0.6966  0.3931  0.8283  7 O 2.43-2.64
Bi  0.2452  0.0000  0.0000  6 O 2.15-2.23
Bi  0.7548  0.0000  0.0000  6 O 2.15-2.23

=====

# 6
La3Bi2O2: relaxed, PBE.

Cell lengths 4.1325, 7.8977, 6.8413 Å; angles 108.00, 107.58, 90.00 degrees
Closest atoms and distances in Å follow each position.
Fractional positions:
Bi  0.3823  0.1635  0.7646  5 La 3.32-3.66
Bi  0.6177  0.8365  0.2354  5 La 3.32-3.66
La  0.3124  0.7094  0.6249  3 O 2.38-2.44
La  0.0000  0.5000  0.0000  2 O 2.42
La  0.6876  0.2906  0.3751  3 O 2.38-2.44
O  0.8350  0.5761  0.6699  4 La 2.38-2.44
O  0.1650  0.4239  0.3301  4 La 2.38-2.44

=====

# 7
La3Bi3O11: relaxed, PBE.

Cell lengths 10.1558, 10.1558, 10.1558 Å; angles 90.00, 90.00, 90.00 degrees
Closest atoms and distances in Å follow each position.
Fractional positions:
O  0.7820  0.8126  0.4963  2 Bi 2.23-2.24
O  0.0000  0.0000  0.3628  2 Bi 2.19
O  0.6021  0.6021  0.3979  4 La 2.35-2.60
O  0.0000  0.6372  0.0000  2 Bi 2.19
O  0.2180  0.1874  0.4963  2 Bi 2.23-2.24
O  0.2820  0.3126  0.0037  2 Bi 2.23-2.24
O  0.5000  0.8628  0.5000  2 Bi 2.19
O  0.8628  0.5000  0.5000  2 Bi 2.19
O  0.5037  0.7820  0.1874  2 Bi 2.23-2.24
O  0.6372  0.0000  0.0000  2 Bi 2.19
O  0.7820  0.1874  0.5037  2 Bi 2.23-2.24
O  0.5000  0.5000  0.1372  2 Bi 2.19
O  0.1021  0.8979  0.8979  4 La 2.35-2.60
O  0.4963  0.7820  0.8126  2 Bi 2.23-2.24
O  0.8126  0.4963  0.7820  2 Bi 2.23-2.24
O  0.0000  0.0000  0.6372  2 Bi 2.19
O  0.0000  0.3628  0.0000  2 Bi 2.19
O  0.7180  0.6874  0.0037  2 Bi 2.23-2.24
O  0.3979  0.6021  0.6021  4 La 2.35-2.60
O  0.1874  0.5037  0.7820  2 Bi 2.23-2.24
O  0.1874  0.4963  0.2180  2 Bi 2.23-2.24
O  0.6021  0.3979  0.6021  4 La 2.35-2.60
O  0.8979  0.1021  0.8979  4 La 2.35-2.60
O  0.4963  0.2180  0.1874  2 Bi 2.23-2.24
O  0.6874  0.9963  0.2820  2 Bi 2.23-2.24
O  0.2820  0.6874  0.9963  2 Bi 2.23-2.24
O  0.0037  0.2820  0.3126  2 Bi 2.23-2.24
O  0.3628  0.0000  0.0000  2 Bi 2.19
O  0.9963  0.7180  0.3126  2 Bi 2.23-2.24
O  0.8979  0.8979  0.1021  4 La 2.35-2.60
O  0.9963  0.2820  0.6874  2 Bi 2.23-2.24
O  0.1021  0.1021  0.1021  4 La 2.35-2.60
O  0.5000  0.1372  0.5000  2 Bi 2.19
O  0.3979  0.3979  0.3979  4 La 2.35-2.60
O  0.3126  0.9963  0.7180  2 Bi 2.23-2.24
O  0.6874  0.0037  0.7180  2 Bi 2.23-2.24
O  0.5000  0.5000  0.8628  2 Bi 2.19
O  0.7180  0.3126  0.9963  2 Bi 2.23-2.24
O  0.2180  0.8126  0.5037  2 Bi 2.23-2.24
O  0.8126  0.5037  0.2180  2 Bi 2.23-2.24
O  0.5037  0.2180  0.8126  2 Bi 2.23-2.24
O  0.3126  0.0037  0.2820  2 Bi 2.23-2.24
O  0.0037  0.7180  0.6874  2 Bi 2.23-2.24
O  0.1372  0.5000  0.5000  2 Bi 2.19
Bi  0.3340  0.0000  0.5000  6 O 2.19-2.24
Bi  0.5000  0.3340  0.0000  6 O 2.19-2.24
Bi  0.0000  0.8340  0.5000  6 O 2.19-2.24
Bi  0.5000  0.6660  0.0000  6 O 2.19-2.24
Bi  0.5000  0.0000  0.8340  6 O 2.19-2.24
Bi  0.8340  0.5000  0.0000  6 O 2.19-2.24
Bi  0.6660  0.0000  0.5000  6 O 2.19-2.24
Bi  0.1660  0.5000  0.0000  6 O 2.19-2.24
Bi  0.0000  0.5000  0.6660  6 O 2.19-2.24
Bi  0.0000  0.5000  0.3340  6 O 2.19-2.24
Bi  0.0000  0.1660  0.5000  6 O 2.19-2.24
Bi  0.5000  0.0000  0.1660  6 O 2.19-2.24
La  0.7500  0.2500  0.7500  8 O 2.60
La  0.8731  0.8731  0.8731  3 O 2.35
La  0.7500  0.7500  0.2500  8 O 2.60
La  0.1269  0.8731  0.1269  3 O 2.35
La  0.1269  0.1269  0.8731  3 O 2.35
La  0.3731  0.6269  0.3731  3 O 2.35
La  0.6269  0.3731  0.3731  3 O 2.35
La  0.2500  0.2500  0.2500  8 O 2.60
La  0.6269  0.6269  0.6269  3 O 2.35
La  0.2500  0.7500  0.7500  8 O 2.60
La  0.8731  0.1269  0.1269  3 O 2.35
La  0.3731  0.3731  0.6269  3 O 2.35

=====

# 8
LaBi2O: relaxed, PBE.

Cell lengths 6.0586, 6.0586, 8.2211 Å; angles 68.38, 68.38, 90.00 degrees
Closest atoms and distances in Å follow each position.
Fractional positions:
Bi  0.4148  0.6250  0.2500  2 O 2.33
Bi  0.3750  0.6648  0.7500  2 O 2.33
Bi  0.3352  0.1250  0.2500  2 O 2.33
Bi  0.8750  0.5852  0.7500  2 O 2.33
O  0.2500  0.7500  0.5000  4 Bi 2.33
O  0.5000  0.5000  0.0000  4 Bi 2.33
La  0.7500  0.2500  0.5000  8 Bi 3.63-4.01
La  0.0000  0.0000  0.0000  8 Bi 3.63-4.01

=====

Formation energy without anion corrections / kJ/mol of atoms: -262.3, -149.3, -150.0, -205.4, -251.7, -200.7, -196.8, -39.2